# PBE Ho2Zn3Pd4, optimized geometry
data_Ho2Zn3Pd4
_cell_length_a 5.580
_cell_length_b 15.100
_cell_length_c 7.628
_cell_angle_alpha 90.00
_cell_angle_beta 90.00
_cell_angle_gamma 90.00
_symmetry_space_group_name_H-M 'C m c e'
_symmetry_Int_Tables_number 64
_symmetry_space_group_name_Hall '-C 2ac 2'
loop_
_atom_site_label
_atom_site_type_symbol
_atom_site_fract_x
_atom_site_fract_y
_atom_site_fract_z
Ho1 Ho 0.000 0.113 0.081
Zn1 Zn 0.000 0.000 0.500
Zn2 Zn 0.250 0.228 0.750
Pd1 Pd 0.000 0.177 0.475
Pd2 Pd 0.250 0.057 0.750
# Crystal system: orthorhombic
# Final energy (eV per cell): -161.4
# Energy of formation from the pure elements (eV/f.u.): -6.71